VASP calculation (SCAN) on Sc2InW at its PBEsol-relaxed geometry.

Structure (extended XYZ):
```
4
Lattice="4.421 0.000 0.000 0.000 4.421 0.000 0.000 0.000 3.921" Properties=species:S:1:pos:R:3 pbc="T T T"
Sc 0.000 2.211 0.000
Sc 2.211 0.000 0.000
In 0.000 0.000 1.961
W 2.211 2.211 1.961
```

Results
E = -32.882 eV per atom
Magnetization = 0.000 μB per atom
Energy of formation = 0.0 eV per formula unit